# 1
Entry from the Alexandria database: a relaxed ThGa3NiPt crystal (PBE).

Values from the calculation:
For the electronic total energy, the calculation gives -5.22 eV per atom. As for the density of states at the Fermi level: 9.26 states/eV per cell. The value obtained for the formation energy is -0.503 eV/atom. The value obtained for the magnetic moment is 0.00 μB/f.u.

a b c (Å): 6.0165 12.1879 6.0162
angles (deg): 90.00 90.00 90.00
Closest atoms and distances in Å follow each position.
Space group Cmcm (No. 63)
One atom of each set of equivalent atoms:
Th 0.0000 0.2276 0.2500 [4 per cell]  1 Ni 2.56
Ga 0.0000 0.3625 0.7500 [4 per cell]  1 Ni 2.44, 1 Pt 2.50
Ga 0.2119 0.0000 0.0000 [8 per cell]  2 Ni 2.42, 1 Ga 2.55
Ni 0.0000 0.4372 0.2500 [4 per cell]  5 Ga 2.42-2.44, 1 Th 2.56
Pt 0.0000 0.1571 0.7500 [4 per cell]  5 Ga 2.50-2.75



# 2
Entry from the Alexandria database: a relaxed LiFeSe2I crystal (PBE).

Values from the calculation:
The value obtained for the uncorrected formation energy is -0.0761 eV/atom. For the electronic total energy, the calculation gives -3.86 eV per atom. As for the density of states at the Fermi level: 4.85 states/eV per cell. The value obtained for the magnetic moment is 0.00 μB/f.u.

a b c (Å): 4.5497 4.5497 6.0851
angles (deg): 90.00 90.00 90.00
Closest atoms and distances in Å follow each position.
Space group P4/mmm (No. 123)
One atom of each set of equivalent atoms:
Li 0.0000 0.0000 0.0000 [1 per cell]  4 I 3.22
Fe 0.5000 0.5000 0.5000 [1 per cell]  4 Se 2.27
Se 0.0000 0.5000 0.5000 [2 per cell]  2 Fe 2.27
I 0.5000 0.5000 0.0000 [1 per cell]  2 Fe 3.04, 4 Li 3.22



# 3
Entry from the Alexandria database: a relaxed BaAcPrNd crystal (PBE).

Values from the calculation:
For the electronic total energy, the calculation gives -3.66 eV per atom. As for the density of states at the Fermi level: 30.21 states/eV per cell. The value obtained for the formation energy is 0.231 eV/atom. The value obtained for the magnetic moment is 1.49 μB/f.u.

a b c (Å): 8.8109 8.8109 8.8109
angles (deg): 90.00 90.00 90.00
Closest atoms and distances in Å follow each position.
Space group F-43m (No. 216)
One atom of each set of equivalent atoms:
Ba 0.0000 0.0000 0.0000 [4 per cell]  4 Nd 3.82, 4 Ac 3.82
Ac 0.2500 0.2500 0.2500 [4 per cell]  4 Ba 3.82, 4 Pr 3.82
Pr 0.0000 0.0000 0.5000 [4 per cell]  4 Ac 3.82, 4 Nd 3.82
Nd 0.2500 0.2500 0.7500 [4 per cell]  4 Ba 3.82, 4 Pr 3.82